[1]
# ZrTcAs2

A relaxed ZrTcAs2 crystal (PBEsol, the Alexandria database).

## Properties
**Polymorph energy (0 for the lowest one)**: 0.020 eV/atom
**Total magnetization**: 0.0 Bohr magnetons per cell
**Raw total energy**: -31.446 eV for the cell shown
**Crystal system**: orthorhombic
**Symmetry**: Immm (71)
**Calculated density**: 8.26 g/cm³
**DFT formation energy**: -0.219 eV per atom

Lattice parameters (Å, degrees): 5.132 5.132 5.132 143.18 121.07 71.54
Fractional coordinates of all 4 atoms:
Zr 0.000 0.000 0.000
Tc 0.500 0.500 0.000
As 0.274 0.774 0.500
As 0.726 0.226 0.500

***

[2]
# ZrTcAs2

A relaxed ZrTcAs2 crystal (PBEsol, the Alexandria database).

## Properties
**Polymorph energy (0 for the lowest one)**: 0.000 eV/atom
**Total magnetization**: 0.0 Bohr magnetons per cell
**Raw total energy**: -31.527 eV for the cell shown
**Crystal system**: trigonal
**Symmetry**: R-3m (166)
**Calculated density**: 8.40 g/cm³
**DFT formation energy**: -0.240 eV per atom

Lattice parameters (Å, degrees): 8.254 8.254 8.254 21.65 21.65 21.65
Fractional coordinates of all 4 atoms:
Zr 0.000 0.000 0.000
Tc 0.500 0.500 0.500
As 0.241 0.241 0.241
As 0.759 0.759 0.759

***

[3]
# Zr2TcAs

A relaxed Zr2TcAs crystal (PBEsol, the Alexandria database).

## Properties
**Total magnetization**: 0.0 Bohr magnetons per cell
**Raw total energy**: -36.645 eV for the cell shown
**Crystal system**: orthorhombic
**Symmetry**: Pmmm (47)
**Calculated density**: 8.41 g/cm³
**DFT formation energy**: -0.523 eV per atom

Lattice parameters (Å, degrees): 3.510 4.409 4.532 90.00 90.00 90.00
Fractional coordinates of all 4 atoms:
Zr 0.000 0.000 0.000
Zr 0.000 0.500 0.500
Tc 0.500 0.000 0.500
As 0.500 0.500 0.000

***

[4]
# ZrTc2As2

A relaxed ZrTc2As2 crystal (PBEsol, the Alexandria database).

## Properties
**Polymorph energy (0 for the lowest one)**: 0.000 eV/atom
**Total magnetization**: 0.0 Bohr magnetons per cell
**Raw total energy**: -43.585 eV for the cell shown
**Crystal system**: tetragonal
**Symmetry**: I4/mmm (139)
**Calculated density**: 8.64 g/cm³
**DFT formation energy**: -0.350 eV per atom

Lattice parameters (Å, degrees): 5.573 5.573 5.573 135.46 135.46 64.82
Fractional coordinates of all 5 atoms:
Zr 0.000 0.000 0.000
Tc 0.250 0.750 0.500
Tc 0.750 0.250 0.500
As 0.371 0.371 0.000
As 0.629 0.629 0.000

***

[5]
# Zr2TcAs

A relaxed Zr2TcAs crystal (PBEsol, the Alexandria database).

## Properties
**Total magnetization**: 0.0 Bohr magnetons per cell
**Raw total energy**: -35.022 eV for the cell shown
**Crystal system**: trigonal
**Symmetry**: R3m (160)
**Calculated density**: 7.84 g/cm³
**DFT formation energy**: -0.117 eV per atom

Lattice parameters (Å, degrees): 8.489 8.489 8.489 22.00 22.00 22.00
Fractional coordinates of all 4 atoms:
Zr 0.000 0.000 0.000
Zr 0.235 0.235 0.235
Tc 0.482 0.482 0.482
As 0.751 0.751 0.751

***

[6]
# ZrTcAs2

A relaxed ZrTcAs2 crystal (PBEsol, the Alexandria database).

## Properties
**Polymorph energy (0 for the lowest one)**: 0.177 eV/atom
**Total magnetization**: 0.0 Bohr magnetons per cell
**Raw total energy**: -61.642 eV for the cell shown
**Crystal system**: tetragonal
**Symmetry**: I-42d (122)
**Calculated density**: 7.85 g/cm³
**DFT formation energy**: -0.063 eV per atom

Lattice parameters (Å, degrees): 9.445 9.445 9.445 155.62 155.62 34.75
Fractional coordinates of all 8 atoms:
Zr 0.000 0.000 0.000
Zr 0.750 0.250 0.500
Tc 0.250 0.750 0.500
Tc 0.500 0.500 0.000
As 0.160 0.625 0.035
As 0.375 0.410 0.535
As 0.590 0.125 0.965
As 0.875 0.840 0.465

***

[7]
# Zr2TcAs

A relaxed Zr2TcAs crystal (PBEsol, the Alexandria database).

## Properties
**Total magnetization**: 0.0 Bohr magnetons per cell
**Raw total energy**: -36.272 eV for the cell shown
**Crystal system**: orthorhombic
**Symmetry**: Immm (71)
**Calculated density**: 8.43 g/cm³
**DFT formation energy**: -0.430 eV per atom

Lattice parameters (Å, degrees): 4.875 4.875 4.875 130.32 125.29 77.01
Fractional coordinates of all 4 atoms:
Zr 0.240 0.240 0.000
Zr 0.760 0.760 0.000
Tc 0.000 0.500 0.500
As 0.500 0.000 0.500

***

[8]
# Te3As

A relaxed Te3As crystal (PBEsol, the Alexandria database).

## Properties
**ΔE_f (raw)**: 0.059 eV/atom
**Polymorph energy (0 for the lowest one)**: 0.013 eV/atom
**Total magnetization**: 0.0 Bohr magnetons per cell
**Raw total energy**: -15.448 eV for the cell shown
**Crystal system**: monoclinic
**Symmetry**: P2/m (10)
**Calculated density**: 6.78 g/cm³

Lattice parameters (Å, degrees): 5.259 4.253 5.332 90.00 109.91 90.00
Fractional coordinates of all 4 atoms:
Te 0.000 0.000 0.000
Te 0.268 0.500 0.733
Te 0.732 0.500 0.267
As 0.500 0.000 0.500